Cs4Ac3DyO8, relaxed, DFT PBE-GGA; density of states at the Fermi level = 0.00 states/eV/cell; ΔE_f (raw) = -2.510 eV/atom; crystal system = trigonal; SG = R-3m
1.0
7.6539 0.0000 0.0000
0.0000 8.2550 0.4095
-3.8270 -3.8173 5.4189
O Cs Dy Ac
8 4 1 3
Cartesian
0.0000 3.8960 2.5923 O
5.8481 2.5579 0.3743 O
0.0000 0.5824 3.1127 O
3.8270 0.5418 3.2361 O
2.0212 1.8798 5.4541 O
-2.0212 1.8798 5.4541 O
1.8058 2.5579 0.3743 O
3.8270 3.8553 2.7157 O
1.9135 -1.9086 2.7094 Cs
0.0000 0.0000 0.0000 Cs
-1.9135 -1.9086 2.7094 Cs
3.8270 0.0000 0.0000 Cs
0.0000 4.1275 0.2048 Dy
3.8270 4.1275 0.2048 Ac
1.9135 2.2189 2.9142 Ac
-1.9135 2.2189 2.9142 Ac


Ba5Mg, relaxed, DFT PBE-GGA; formation energy from the elements = 0.0439 eV/atom; density of states at the Fermi level = 7.71 states/eV/cell; crystal system = orthorhombic; ΔE to the lowest computed polymorph = 45 meV per atom; SG = Amm2
1.0
8.6726 -0.0042 0.0000
-6.3427 5.9146 0.0000
0.0000 0.0000 6.4291
Mg Ba
1 5
Cartesian
8.2622 0.1576 0.0000 Mg
-1.4891 4.0014 0.0000 Ba
0.7466 3.1201 3.2146 Ba
2.9818 2.2391 0.0000 Ba
5.9279 1.0778 3.2146 Ba
-4.4348 5.1625 3.2146 Ba


Mn2Tl4Mo, relaxed, DFT PBE-GGA; formation energy from the elements = 0.8524 eV/atom; density of states at the Fermi level = 6.49 states/eV/cell; crystal system = tetragonal; SG = I4/mmm
1.0
-3.6770 -1.0746 3.8018
3.9504 -1.0646 3.5199
0.1984 5.4404 5.5607
Mn Tl Mo
2 4 1
Cartesian
0.3232 3.1141 8.8548 Mn
0.1486 0.1871 4.0276 Mn
-1.8385 -0.5373 1.9009 Tl
1.9752 -0.5323 1.7599 Tl
0.2983 0.4853 8.0876 Tl
0.1735 2.8159 4.7947 Tl
0.0000 0.0000 0.0000 Mo


Dy5Mg5Ag2, relaxed, DFT PBE-GGA; formation energy from the elements = -0.0731 eV/atom; density of states at the Fermi level = 9.45 states/eV/cell; crystal system = monoclinic; SG = C2/m
1.0
5.1992 -0.0005 0.9631
2.5113 4.5525 0.9631
0.2447 0.1445 13.3420
Dy Mg Ag
5 5 2
Cartesian
3.2795 1.9361 11.4450 Dy
0.0000 0.0000 0.0000 Dy
4.6757 2.7604 3.8233 Dy
6.7197 3.9671 7.3421 Dy
1.2354 0.7294 7.9261 Dy
3.9776 2.3482 7.6341 Mg
6.1282 3.6178 10.5808 Mg
1.8270 1.0786 4.6874 Mg
5.5660 3.2860 13.6556 Mg
2.3891 1.4105 1.6126 Mg
0.7385 0.4360 10.6386 Ag
7.2167 4.2604 4.6297 Ag


BaHg2Te, relaxed, DFT PBE-GGA; ΔE_f (raw) = -0.710 eV/atom; crystal system = tetragonal; SG = P4mm
1.0
4.5050 -0.0208 0.0000
0.0158 4.5050 0.0000
0.0000 0.0000 7.3103
Te Hg Ba
1 2 1
Cartesian
0.0000 0.0000 3.7872 Te
2.2604 2.2421 1.5058 Hg
0.0000 0.0000 0.5254 Hg
2.2604 2.2421 5.1470 Ba


ScCu2Os, relaxed, DFT PBE-GGA; formation energy from the elements = 0.0370 eV/atom; density of states at the Fermi level = 1.68 states/eV/cell; crystal system = monoclinic; ΔE to the lowest computed polymorph = 94 meV per atom; SG = Pm
1.0
4.1958 0.0000 0.0000
0.0000 2.7034 0.0356
0.0000 1.3056 5.1632
Cu Sc Os
2 1 1
Cartesian
0.0000 0.5096 0.0756 Cu
2.0979 0.4908 1.3059 Cu
2.0979 3.1778 3.9504 Sc
0.0000 1.8352 2.4664 Os


Tb2HfBi2N2, relaxed, DFT PBE-GGA; density of states at the Fermi level = 3.31 states/eV/cell; ΔE_f (raw) = -1.048 eV/atom; crystal system = tetragonal; SG = I4/mmm
1.0
4.2166 0.0000 0.0000
0.0000 4.2166 0.0000
-2.1083 -2.1083 8.3923
Tb N Bi Hf
2 2 2 1
Cartesian
0.0000 0.0000 6.8133 Tb
2.1083 2.1083 1.5790 Tb
2.1083 0.0000 0.0000 N
0.0000 2.1083 0.0000 N
2.1083 2.1083 5.2047 Bi
0.0000 0.0000 3.1876 Bi
0.0000 0.0000 0.0000 Hf


Pm3UTe6, relaxed, DFT PBE-GGA; density of states at the Fermi level = 10.64 states/eV/cell; ΔE_f (raw) = -1.119 eV/atom; crystal system = orthorhombic; SG = Cmc2_1
1.0
-5.0026 -4.0939 -4.2961
0.8982 -7.4888 6.0904
-7.3780 4.9630 3.8619
Te Pm U
12 6 2
Cartesian
-5.9566 -7.4945 4.1438 Te
-3.7536 -6.6357 0.7601 Te
-7.9912 -3.9616 3.6722 Te
-8.5878 -0.5292 1.6804 Te
-4.8651 -2.8546 5.9885 Te
-2.7002 -2.0107 2.6633 Te
-2.8908 -10.5104 2.8565 Te
-5.8262 -3.1177 0.3471 Te
-5.1099 1.2151 1.8695 Te
-7.3130 0.3563 5.2532 Te
-8.5976 3.8857 2.7944 Te
-1.6866 -5.1019 5.0132 Te
-6.8234 -5.9804 1.4457 Pm
-2.7807 -3.7532 -0.0227 Pm
-11.0788 -4.8117 3.6375 Pm
-6.9965 -3.2205 -2.6324 Pm
-5.8590 -1.6213 3.1799 Pm
-6.8629 -5.3445 6.2472 Pm
-2.9734 -7.4925 3.5686 U
-6.0236 2.9067 4.2219 U


DyPaTe2, relaxed, DFT PBE-GGA; density of states at the Fermi level = 6.72 states/eV/cell; ΔE_f (raw) = -0.891 eV/atom; crystal system = tetragonal; ΔE to the lowest computed polymorph = 0 meV per atom; SG = P4/mmm
1.0
3.7574 0.0000 0.0000
0.0000 3.7574 0.0000
0.0000 0.0000 7.4816
Pa Te Dy
1 2 1
Cartesian
1.8787 1.8787 3.7408 Pa
0.0000 0.0000 5.5713 Te
0.0000 0.0000 1.9104 Te
1.8787 1.8787 0.0000 Dy


TeMoOs2, relaxed, DFT PBE-GGA; density of states at the Fermi level = 3.57 states/eV/cell; ΔE_f (raw) = 0.640 eV/atom; crystal system = trigonal; SG = R3m
1.0
8.8730 0.0000 0.0000
8.3788 2.9198 0.0000
8.3788 1.4181 2.5523
Os Mo Te
2 1 1
Cartesian
6.4693 1.0949 0.6442 Os
25.6108 4.3346 2.5504 Os
19.1555 3.2421 1.9075 Mo
12.8411 2.1733 1.2787 Te


TeAs2Br, relaxed, DFT PBE-GGA; density of states at the Fermi level = 2.86 states/eV/cell; ΔE_f (raw) = 0.468 eV/atom; crystal system = cubic; ΔE to the lowest computed polymorph = 509 meV per atom; SG = Fm-3m
1.0
0.0000 3.5817 3.5817
3.5817 0.0000 3.5817
3.5817 3.5817 0.0000
As Br Te
2 1 1
Cartesian
1.7908 1.7908 1.7908 As
5.3725 5.3725 5.3725 As
0.0000 0.0000 0.0000 Br
3.5817 3.5817 3.5817 Te


BaPm3Sm2Te6, relaxed, DFT PBE-GGA; density of states at the Fermi level = 5.90 states/eV/cell; ΔE_f (raw) = -1.430 eV/atom; crystal system = monoclinic; SG = C2/m
1.0
4.5163 0.0000 0.0000
0.0000 9.1399 0.3013
-2.2581 -2.6627 9.5197
Sm Pm Te Ba
2 3 6 1
Cartesian
0.0000 2.2251 3.3539 Sm
2.2581 4.2521 6.4671 Sm
2.2581 -0.1409 6.5028 Pm
2.2581 4.5699 0.1506 Pm
0.0000 6.6181 3.3181 Pm
0.0000 2.4234 0.1690 Te
2.2581 4.0538 9.6519 Te
0.0000 2.0585 6.4953 Te
2.2581 -0.1445 3.3576 Te
0.0000 6.6217 6.4633 Te
2.2581 4.4188 3.3257 Te
2.2581 0.0000 0.0000 Ba


Be2InCl, relaxed, DFT PBE-GGA; density of states at the Fermi level = 1.52 states/eV/cell; ΔE_f (raw) = 0.652 eV/atom; crystal system = tetragonal; ΔE to the lowest computed polymorph = 458 meV per atom; SG = P4/mmm
1.0
2.8709 0.0000 0.0000
0.0000 4.8849 0.0000
0.0000 0.0000 4.8849
Be Cl In
2 1 1
Cartesian
0.0000 0.0000 0.0000 Be
0.0000 2.4424 2.4424 Be
1.4355 2.4424 0.0000 Cl
1.4355 0.0000 2.4424 In


Y2W, relaxed, DFT PBE-GGA; formation energy from the elements = 0.4738 eV/atom; density of states at the Fermi level = 5.12 states/eV/cell; crystal system = tetragonal; ΔE to the lowest computed polymorph = 228 meV per atom; SG = I4/mmm
1.0
-1.7109 1.7109 6.7588
1.7109 -1.7109 6.7588
1.7109 1.7109 -6.7588
Y W
2 1
Cartesian
0.0000 0.0000 1.7970 Y
0.0000 0.0000 11.7206 Y
0.0000 0.0000 6.7588 W


La5PmHg6, relaxed, DFT PBE-GGA; formation energy from the elements = -0.4959 eV/atom; density of states at the Fermi level = 14.23 states/eV/cell; crystal system = orthorhombic; SG = Cmmm
1.0
-4.7076 -0.2040 -2.8034
0.2347 -7.8337 0.1763
-6.5727 -0.0691 5.6805
Hg La Pm
6 5 1
Cartesian
-5.0130 -5.9830 3.4919 Hg
-5.1320 -2.0104 3.4026 Hg
-2.1766 -6.0174 -1.2686 Hg
-6.0326 -2.1238 -0.4385 Hg
-5.9136 -6.0964 -0.3492 Hg
-2.2964 -2.0203 -1.3586 Hg
-3.7603 -0.0910 0.9594 La
-3.6577 -4.0078 1.0723 La
0.1173 -3.9168 0.0881 La
-7.3879 -4.0990 1.9811 La
-7.5200 -0.1821 1.9177 La
0.0000 0.0000 0.0000 Pm


BaAcPr2S4, relaxed, DFT PBE-GGA; density of states at the Fermi level = 3.35 states/eV/cell; ΔE_f (raw) = -2.005 eV/atom; crystal system = monoclinic; SG = P2/m
1.0
4.2167 0.0000 0.0000
0.0000 7.4135 -0.1898
0.0000 2.5680 6.8875
Ac S Pr Ba
1 4 2 1
Cartesian
2.1084 3.7068 -0.0949 Ac
4.2167 2.3812 1.6740 S
0.0001 7.6003 5.0237 S
2.1084 6.3195 1.4820 S
2.1084 3.6620 5.2156 S
0.0000 2.5680 6.8875 Pr
2.1084 1.2840 3.4437 Pr
0.0000 4.9907 3.3489 Ba


ScPaAu, relaxed, DFT PBE-GGA; formation energy from the elements = -0.2814 eV/atom; density of states at the Fermi level = 4.92 states/eV/cell; crystal system = tetragonal; ΔE to the lowest computed polymorph = 0 meV per atom; SG = I4mm
1.0
3.2214 0.0000 0.0000
0.0000 3.2214 0.0000
-1.6107 -1.6107 6.4669
Au Sc Pa
1 1 1
Cartesian
1.6107 1.6107 2.3243 Au
0.0000 0.0000 4.1016 Sc
0.0000 0.0000 0.0411 Pa


Number 1: VASP energy -6.2602 eV per atom, magnetic moment 0.00 μB per formula unit. Number 2: VASP energy -1.8242 eV per atom, magnetic moment 0.00 μB per formula unit. Number 3: VASP energy -4.6670 eV per atom, magnetic moment 9.04 μB per formula unit. Number 4: VASP energy -3.1303 eV per atom, magnetic moment 0.00 μB per formula unit. Number 5: VASP energy -2.1272 eV per atom, magnetic moment 0.00 μB per formula unit. Number 6: VASP energy -6.4014 eV per atom, magnetic moment 0.00 μB per formula unit. Number 7: VASP energy -7.2803 eV per atom, magnetic moment 0.00 μB per formula unit. Number 8: VASP energy -5.5580 eV per atom, magnetic moment 3.01 μB per formula unit. Number 9: VASP energy -5.9861 eV per atom, magnetic moment 0.99 μB per formula unit. Number 10: VASP energy -8.4683 eV per atom, magnetic moment 0.00 μB per formula unit. Number 11: VASP energy -3.0599 eV per atom, magnetic moment 0.00 μB per formula unit. Number 12: VASP energy -5.1353 eV per atom, magnetic moment 0.00 μB per formula unit. Number 13: VASP energy -2.3573 eV per atom, magnetic moment 0.00 μB per formula unit. Number 14: VASP energy -8.1533 eV per atom, magnetic moment 0.00 μB per formula unit. Number 15: VASP energy -3.0958 eV per atom, magnetic moment 2.33 μB per formula unit. Number 16: VASP energy -6.0171 eV per atom, magnetic moment 0.00 μB per formula unit. Number 17: VASP energy -6.6496 eV per atom, magnetic moment 0.00 μB per formula unit.